Ni2PtAu PBE-GGA relaxed; ΔH_f (0 K) = 0.16 eV/f.u.; DFT total energy = -5.18 eV/atom; size of the total moment = 1.57 μB per cell; DOS at the Fermi energy = 6.8 states/eV per cell; energy above the most stable polymorph in this dataset = 0.046 eV per atom; space-group type = No. 123
1.0
3.932 0.000 0.000
0.000 3.932 0.000
0.000 0.000 3.616
Ni Pt Au
2 1 1
Direct
0.000 0.500 0.000 Ni
0.500 0.000 0.000 Ni
0.000 0.000 0.500 Pt
0.500 0.500 0.500 Au

NiPt3Au PBE-GGA relaxed; ΔH_f (0 K) = 4.85 eV/f.u.; DFT total energy = -4.47 eV/atom; size of the total moment = 0.71 μB per cell; DOS at the Fermi energy = 9.4 states/eV per cell; energy above the most stable polymorph in this dataset = 0.000 eV per atom; space-group type = No. 221
1.0
4.550 0.000 0.000
0.000 4.550 0.000
0.000 0.000 4.550
Ni Pt Au
1 3 1
Direct
0.000 0.000 0.000 Ni
0.000 0.000 0.500 Pt
0.000 0.500 0.000 Pt
0.500 0.000 0.000 Pt
0.500 0.500 0.500 Au

NiPtAu PBE-GGA relaxed; ΔH_f (0 K) = 0.18 eV/f.u.; DFT total energy = -4.97 eV/atom; size of the total moment = 1.88 μB per cell; DOS at the Fermi energy = 9.3 states/eV per cell; energy above the most stable polymorph in this dataset = 0.028 eV per atom; space-group type = No. 12
1.0
4.436 -1.960 0.000
4.436 1.960 0.000
-2.046 0.000 5.197
Ni Pt Au
2 2 2
Direct
0.155 0.155 0.080 Ni
0.845 0.845 0.920 Ni
0.486 0.486 0.230 Pt
0.514 0.514 0.770 Pt
0.174 0.174 0.600 Au
0.826 0.826 0.400 Au

Ni2PtAu PBE-GGA relaxed; ΔH_f (0 K) = 0.05 eV/f.u.; DFT total energy = -5.21 eV/atom; size of the total moment = 1.60 μB per cell; DOS at the Fermi energy = 6.2 states/eV per cell; energy above the most stable polymorph in this dataset = 0.019 eV per atom; space-group type = No. 10
1.0
2.768 0.000 0.000
0.000 3.614 0.000
-0.013 0.000 5.604
Ni Pt Au
2 1 1
Direct
0.000 0.000 0.233 Ni
0.000 0.000 0.767 Ni
0.500 0.500 0.000 Pt
0.500 0.500 0.500 Au

NiPtAu3 PBE-GGA relaxed; ΔH_f (0 K) = 4.84 eV/f.u.; DFT total energy = -3.36 eV/atom; size of the total moment = 0.54 μB per cell; DOS at the Fermi energy = 6.2 states/eV per cell; energy above the most stable polymorph in this dataset = 0.000 eV per atom; space-group type = No. 221
1.0
4.665 0.000 0.000
0.000 4.665 0.000
0.000 0.000 4.665
Ni Pt Au
1 1 3
Direct
0.000 0.000 0.000 Ni
0.500 0.500 0.500 Pt
0.000 0.000 0.500 Au
0.000 0.500 0.000 Au
0.500 0.000 0.000 Au

Ni2PtAu PBE-GGA relaxed; ΔH_f (0 K) = 0.17 eV/f.u.; DFT total energy = -5.18 eV/atom; size of the total moment = 1.50 μB per cell; DOS at the Fermi energy = 4.2 states/eV per cell; energy above the most stable polymorph in this dataset = 0.046 eV per atom; space-group type = No. 99
1.0
2.761 0.000 0.000
0.000 2.761 0.000
0.000 0.000 7.339
Ni Pt Au
2 1 1
Direct
0.000 0.000 0.000 Ni
0.500 0.500 0.201 Ni
0.000 0.000 0.439 Pt
0.500 0.500 0.740 Au

NiPt2Au PBE-GGA relaxed; ΔH_f (0 K) = 0.04 eV/f.u.; DFT total energy = -5.27 eV/atom; size of the total moment = 1.19 μB per cell; DOS at the Fermi energy = 5.2 states/eV per cell; energy above the most stable polymorph in this dataset = 0.054 eV per atom; space-group type = No. 12
1.0
4.649 -1.405 0.000
4.649 1.405 0.000
-1.038 0.000 4.665
Ni Pt Au
1 2 1
Direct
0.000 0.000 0.000 Ni
0.260 0.260 0.762 Pt
0.740 0.740 0.238 Pt
0.500 0.500 0.500 Au

Ni2PtAu PBE-GGA relaxed; ΔH_f (0 K) = 0.24 eV/f.u.; DFT total energy = -5.16 eV/atom; size of the total moment = 1.48 μB per cell; DOS at the Fermi energy = 6.6 states/eV per cell; energy above the most stable polymorph in this dataset = 0.064 eV per atom; space-group type = No. 119
1.0
-1.894 1.894 3.914
1.894 -1.894 3.914
1.894 1.894 -3.914
Ni Pt Au
2 1 1
Direct
0.000 0.000 0.000 Ni
0.750 0.250 0.500 Ni
0.250 0.750 0.500 Pt
0.500 0.500 0.000 Au

NiPtAu4 PBE-GGA relaxed; ΔH_f (0 K) = 2.89 eV/f.u.; DFT total energy = -3.67 eV/atom; size of the total moment = 0.81 μB per cell; DOS at the Fermi energy = 9.6 states/eV per cell; space-group type = No. 216
1.0
0.000 3.809 3.809
3.809 0.000 3.809
3.809 3.809 0.000
Ni Pt Au
1 1 4
Direct
0.000 0.000 0.000 Ni
0.750 0.750 0.750 Pt
0.375 0.375 0.375 Au
0.375 0.375 0.875 Au
0.375 0.875 0.375 Au
0.875 0.375 0.375 Au

Ni2PtAu PBE-GGA relaxed; ΔH_f (0 K) = 0.22 eV/f.u.; DFT total energy = -5.16 eV/atom; size of the total moment = 1.49 μB per cell; DOS at the Fermi energy = 5.3 states/eV per cell; energy above the most stable polymorph in this dataset = 0.061 eV per atom; space-group type = No. 25
1.0
2.751 0.000 0.000
0.000 3.592 0.000
0.000 0.000 5.702
Ni Pt Au
2 1 1
Direct
0.000 0.000 0.000 Ni
0.500 0.500 0.217 Ni
0.000 0.000 0.445 Pt
0.500 0.500 0.748 Au

NiPtAu PBE-GGA relaxed; ΔH_f (0 K) = 0.20 eV/f.u.; DFT total energy = -4.97 eV/atom; size of the total moment = 1.84 μB per cell; DOS at the Fermi energy = 8.8 states/eV per cell; energy above the most stable polymorph in this dataset = 0.037 eV per atom; space-group type = No. 8
1.0
4.316 -1.965 0.000
4.316 1.965 0.000
-1.535 0.000 5.326
Ni Pt Au
2 2 2
Direct
0.000 0.000 0.000 Ni
0.671 0.671 0.347 Ni
0.005 0.005 0.491 Pt
0.333 0.333 0.661 Pt
0.338 0.338 0.167 Au
0.664 0.664 0.847 Au

NiPt2Au PBE-GGA relaxed; ΔH_f (0 K) = 0.58 eV/f.u.; DFT total energy = -5.14 eV/atom; size of the total moment = 1.07 μB per cell; DOS at the Fermi energy = 3.3 states/eV per cell; energy above the most stable polymorph in this dataset = 0.187 eV per atom; space-group type = No. 225
1.0
0.000 3.135 3.135
3.135 0.000 3.135
3.135 3.135 0.000
Ni Pt Au
1 2 1
Direct
0.000 0.000 0.000 Ni
0.250 0.250 0.250 Pt
0.750 0.750 0.750 Pt
0.500 0.500 0.500 Au